Model one:
ZnCoSO | PBE+U | optimized geometry

a b c (Å): 6.0260 6.9986 5.7151
angles (deg): 90.00 90.00 90.00
Element x y z (fractional)
1 Co 0.6955 0.3609 0.3003
2 Co 0.1955 0.6391 0.3003
3 Co 0.8045 0.3609 0.8003
4 Co 0.3045 0.6391 0.8003
5 O 0.6329 0.0817 0.3359
6 O 0.1329 0.9183 0.3359
7 O 0.8671 0.0817 0.8359
8 O 0.3671 0.9183 0.8359
9 S 0.0520 0.3593 0.4717
10 S 0.5520 0.6407 0.4717
11 S 0.4480 0.3593 0.9717
12 S 0.9480 0.6407 0.9717
13 Zn 0.3574 0.0554 0.1420
14 Zn 0.8574 0.9446 0.1420
15 Zn 0.1426 0.0554 0.6420
16 Zn 0.6426 0.9446 0.6420

Calculated values
- Calculated volume: 15.1 Å³/atom

Model two:
ZnCoSO | PBE+U | optimized geometry

a b c (Å): 6.4098 6.4098 5.6564
angles (deg): 90.00 90.00 30.29
Element x y z (fractional)
1 Co 0.9357 0.9357 0.3842
2 Co 0.0643 0.0643 0.8842
3 O 0.9232 0.9232 0.0352
4 O 0.0768 0.0768 0.5352
5 S 0.6758 0.6758 0.0296
6 S 0.3242 0.3242 0.5296
7 Zn 0.6647 0.6647 0.4435
8 Zn 0.3353 0.3353 0.9435

Calculated values
- Calculated volume: 14.7 Å³/atom

Which one sits at the top of the stability order? model two does.

Model one:
ZnCoSO | PBE+U | optimized geometry

a b c (Å): 3.4386 3.4387 11.2350
angles (deg): 90.00 90.00 120.00
Element x y z (fractional)
1 Co 0.0000 0.0000 0.4972
2 Co 0.0000 0.0000 0.9972
3 O 0.0000 0.0000 0.3261
4 O 0.0000 0.0000 0.8261
5 S 0.6667 0.3334 0.0986
6 S 0.3333 0.6666 0.5986
7 Zn 0.3333 0.6666 0.2658
8 Zn 0.6667 0.3334 0.7658

Calculated values
- Calculated volume: 14.4 Å³/atom

Model two:
ZnCoSO | PBE+U | optimized geometry

a b c (Å): 3.8608 3.8608 8.7452
angles (deg): 90.00 90.00 90.00
Element x y z (fractional)
1 Co 0.7500 0.7500 0.1005
2 Co 0.2500 0.2500 0.8995
3 O 0.2500 0.2500 0.1187
4 O 0.7500 0.7500 0.8813
5 S 0.7500 0.2500 0.5000
6 S 0.2500 0.7500 0.5000
7 Zn 0.2500 0.2500 0.3296
8 Zn 0.7500 0.7500 0.6704

Calculated values
- Calculated volume: 16.3 Å³/atom

Which one sits at the top of the stability order? model one does.

Model one:
ZnCoSO | PBE+U | optimized geometry

a b c (Å): 6.0098 6.0098 5.7533
angles (deg): 90.00 90.00 31.51
Element x y z (fractional)
1 Co 0.9182 0.9182 0.2500
2 Co 0.0818 0.0818 0.7500
3 O 0.5000 0.5000 0.0000
4 O 0.5000 0.5000 0.5000
5 S 0.2685 0.2685 0.2500
6 S 0.7315 0.7315 0.7500
7 Zn 0.6267 0.6267 0.2500
8 Zn 0.3733 0.3733 0.7500

Calculated values
- Calculated volume: 13.6 Å³/atom

Model two:
ZnCoSO | PBE+U | optimized geometry

a b c (Å): 3.4485 3.4487 11.1227
angles (deg): 90.00 90.00 120.00
Element x y z (fractional)
1 Co 0.3333 0.6667 0.2627
2 Co 0.6667 0.3334 0.7627
3 O 0.0000 0.0000 0.3247
4 O 0.0000 0.0000 0.8247
5 S 0.6667 0.3334 0.1033
6 S 0.3333 0.6666 0.6033
7 Zn 0.0000 0.0000 0.4970
8 Zn 0.0000 0.0000 0.9970

Calculated values
- Calculated volume: 14.3 Å³/atom

Model three:
ZnCoSO | PBE+U | optimized geometry

a b c (Å): 6.4033 6.4033 5.5825
angles (deg): 90.00 90.00 30.40
Element x y z (fractional)
1 Co 0.6686 0.6686 0.4554
2 Co 0.3314 0.3314 0.9554
3 O 0.9222 0.9222 0.0272
4 O 0.0778 0.0778 0.5272
5 S 0.6790 0.6790 0.0298
6 S 0.3210 0.3210 0.5298
7 Zn 0.9349 0.9349 0.3802
8 Zn 0.0651 0.0651 0.8802

Calculated values
- Calculated volume: 14.5 Å³/atom

Model four:
ZnCoSO | PBE+U | optimized geometry

a b c (Å): 3.6534 3.6534 8.9555
angles (deg): 90.00 90.00 90.00
Element x y z (fractional)
1 Co 0.7500 0.7500 0.1262
2 Co 0.2500 0.2500 0.8738
3 O 0.7500 0.2500 0.5000
4 O 0.2500 0.7500 0.5000
5 S 0.2500 0.2500 0.1467
6 S 0.7500 0.7500 0.8533
7 Zn 0.2500 0.2500 0.4144
8 Zn 0.7500 0.7500 0.5856

Calculated values
- Calculated volume: 14.9 Å³/atom

Which one sits at the top of the stability order? model three does.

Model one:
ZnCoSO | PBE+U | optimized geometry

a b c (Å): 6.1747 6.1747 5.4982
angles (deg): 90.00 90.00 150.15
Element x y z (fractional)
1 Co 0.1315 0.8685 0.2500
2 Co 0.8685 0.1315 0.7500
3 O 0.0000 0.0000 0.0000
4 O 0.0000 0.0000 0.5000
5 S 0.7720 0.2280 0.2500
6 S 0.2280 0.7720 0.7500
7 Zn 0.4284 0.5716 0.2500
8 Zn 0.5716 0.4284 0.7500

Calculated values
- Calculated volume: 13.0 Å³/atom

Model two:
ZnCoSO | PBE+U | optimized geometry

a b c (Å): 3.6560 3.6560 8.6381
angles (deg): 90.00 90.00 90.00
Element x y z (fractional)
1 Co 0.2500 0.2500 0.4408
2 Co 0.7500 0.7500 0.5592
3 O 0.7500 0.2500 0.5000
4 O 0.2500 0.7500 0.5000
5 S 0.2500 0.2500 0.1610
6 S 0.7500 0.7500 0.8390
7 Zn 0.7500 0.7500 0.1247
8 Zn 0.2500 0.2500 0.8753

Calculated values
- Calculated volume: 14.4 Å³/atom

Which one sits at the top of the stability order? model two does.

Model one:
ZnCoSO | PBE+U | optimized geometry

a b c (Å): 6.0582 7.0645 5.8390
angles (deg): 90.00 90.00 90.00
Element x y z (fractional)
1 Co 0.1268 0.0512 0.4997
2 Co 0.6268 0.9488 0.4997
3 Co 0.3732 0.0512 0.9997
4 Co 0.8732 0.9488 0.9997
5 O 0.6400 0.0697 0.1973
6 O 0.1400 0.9303 0.1973
7 O 0.8600 0.0697 0.6973
8 O 0.3600 0.9303 0.6973
9 S 0.0373 0.3606 0.3583
10 S 0.5373 0.6394 0.3583
11 S 0.4627 0.3606 0.8583
12 S 0.9627 0.6394 0.8583
13 Zn 0.6833 0.3574 0.1947
14 Zn 0.1833 0.6426 0.1947
15 Zn 0.8167 0.3574 0.6947
16 Zn 0.3167 0.6426 0.6947

Calculated values
- Calculated volume: 15.6 Å³/atom

Model two:
ZnCoSO | PBE+U | optimized geometry

a b c (Å): 5.6126 3.3816 12.4692
angles (deg): 90.00 90.00 90.00
Element x y z (fractional)
1 Co 0.6357 0.2500 0.1831
2 Co 0.1357 0.2500 0.3169
3 Co 0.8643 0.7500 0.6831
4 Co 0.3643 0.7500 0.8169
5 O 0.2833 0.2500 0.1754
6 O 0.7833 0.2500 0.3246
7 O 0.2167 0.7500 0.6754
8 O 0.7167 0.7500 0.8247
9 S 0.7733 0.7500 0.0731
10 S 0.2733 0.7500 0.4269
11 S 0.7267 0.2500 0.5731
12 S 0.2267 0.2500 0.9269
13 Zn 0.1917 0.7500 0.0912
14 Zn 0.6917 0.7500 0.4088
15 Zn 0.3083 0.2500 0.5912
16 Zn 0.8083 0.2500 0.9088

Calculated values
- Calculated volume: 14.8 Å³/atom

Which one sits at the top of the stability order? model two does.

Model one:
ZnCoSO | PBE+U | optimized geometry

a b c (Å): 6.3092 12.2068 6.2657
angles (deg): 90.00 90.00 90.00
Element x y z (fractional)
1 Co 0.7583 0.0505 0.0582
2 Co 0.7417 0.5504 0.0582
3 Co 0.2583 0.0505 0.4418
4 Co 0.2417 0.5504 0.4418
5 Co 0.7583 0.4495 0.5582
6 Co 0.7417 0.9495 0.5582
7 Co 0.2583 0.4495 0.9418
8 Co 0.2417 0.9495 0.9418
9 O 0.7292 0.2109 0.1169
10 O 0.7708 0.7109 0.1169
11 O 0.2292 0.2109 0.3831
12 O 0.2708 0.7109 0.3831
13 O 0.7292 0.2891 0.6169
14 O 0.7708 0.7891 0.6169
15 O 0.2292 0.2891 0.8831
16 O 0.2708 0.7891 0.8831
17 S 0.4880 0.4496 0.2475
18 S 0.0120 0.9496 0.2475
19 S 0.9880 0.4496 0.2525
20 S 0.5120 0.9496 0.2525
21 S 0.4880 0.0504 0.7475
22 S 0.0120 0.5504 0.7475
23 S 0.9880 0.0504 0.7525
24 S 0.5120 0.5504 0.7525
25 Zn 0.0372 0.2630 0.1453
26 Zn 0.4628 0.7630 0.1453
27 Zn 0.5372 0.2630 0.3547
28 Zn 0.9628 0.7630 0.3547
29 Zn 0.0372 0.2370 0.6453
30 Zn 0.4628 0.7370 0.6453
31 Zn 0.5372 0.2370 0.8547
32 Zn 0.9628 0.7370 0.8547

Calculated values
- Calculated volume: 15.1 Å³/atom

Model two:
ZnCoSO | PBE+U | optimized geometry

a b c (Å): 5.8452 6.1771 7.0522
angles (deg): 90.00 90.00 90.00
Element x y z (fractional)
1 Co 0.3749 0.2810 0.0960
2 Co 0.6251 0.7810 0.4040
3 Co 0.1251 0.7190 0.5960
4 Co 0.8749 0.2190 0.9040
5 O 0.0360 0.3323 0.1276
6 O 0.9640 0.8323 0.3724
7 O 0.4640 0.6677 0.6276
8 O 0.5360 0.1677 0.8724
9 S 0.4725 0.6448 0.1258
10 S 0.5275 0.1448 0.3742
11 S 0.0275 0.3552 0.6258
12 S 0.9725 0.8552 0.8742
13 Zn 0.0685 0.6631 0.1471
14 Zn 0.9315 0.1631 0.3529
15 Zn 0.4315 0.3369 0.6471
16 Zn 0.5685 0.8369 0.8529

Calculated values
- Calculated volume: 15.9 Å³/atom

Which one sits at the top of the stability order? model two does.